The following is a DFT calculation (PBE) of a relaxed structure of Nd2GaRh.

## Properties
DOS at the Fermi energy: 1.43 states/eV/f.u.
E_form: -164.9 meV/atom

abc: 4.0043 4.0043 28.6445
angles: 90.00 90.00 120.00
Space group R-3m (No. 166, hexagonal axes)
Unique sites:
Nd1 0.0000 0.0000 0.1108 x6
Ga1 0.0000 0.0000 0.0000 x3
Rh1 0.0000 0.0000 0.5000 x3


The following is a DFT calculation (PBE) of a relaxed structure of NdGa2Rh.

## Properties
DOS at the Fermi energy: 3.07 states/eV/f.u.
E_form: -708.5 meV/atom

abc: 4.2451 4.2451 15.6621
angles: 90.00 90.00 120.00
Space group R-3m (No. 166, hexagonal axes)
Unique sites:
Nd1 0.0000 0.0000 0.0000 x3
Ga1 0.0000 0.0000 0.2133 x6
Rh1 0.0000 0.0000 0.5000 x3


The following is a DFT calculation (PBE) of a relaxed structure of Nd4GaRh2.

## Properties
DOS at the Fermi energy: 5.89 states/eV/f.u.
E_form: -558.6 meV/atom

abc: 7.0607 7.1613 8.6585
angles: 108.01 107.54 104.76
Space group P1 (No. 1)
Unique sites:
Nd1 0.0000 0.0000 0.0000 x1
Nd2 0.0293 0.5371 0.0760 x1
Nd3 0.0814 0.7496 0.6002 x1
Nd4 0.3422 0.1481 0.4753 x1
Nd5 0.4768 0.6134 0.8975 x1
Nd6 0.5161 0.6817 0.4687 x1
Nd7 0.6185 0.2447 0.1770 x1
Nd8 0.9067 0.2137 0.6063 x1
Ga1 0.5837 0.0844 0.7998 x1
Ga2 0.8223 0.8361 0.2742 x1
Rh1 0.0885 0.3622 0.3541 x1
Rh2 0.2695 0.2027 0.8577 x1
Rh3 0.4433 0.8804 0.2178 x1
Rh4 0.7737 0.5503 0.7207 x1


The following is a DFT calculation (PBE) of a relaxed structure of Nd4Ga3Rh.

## Properties
DOS at the Fermi energy: 7.45 states/eV/f.u.
E_form: -615.5 meV/atom

abc: 4.2581 4.3771 10.9124
angles: 90.00 90.00 90.00
Space group Pmm2 (No. 25)
Unique sites:
Nd1 0.0000 0.0000 0.0000 x1
Nd2 0.0000 0.5000 0.4819 x1
Nd3 0.5000 0.0000 0.7031 x1
Nd4 0.5000 0.5000 0.2083 x1
Ga1 0.0000 0.5000 0.7742 x1
Ga2 0.5000 0.0000 0.4130 x1
Ga3 0.5000 0.5000 0.9202 x1
Rh1 0.0000 0.0000 0.2680 x1


Question: DOS at the Fermi energy of number 3 (Nd4GaRh2)?
Answer: 5.89 states/eV/f.u.